No. 1
This record from Alexandria via LeMat-Bulk describes an optimized crystal structure of ReSn3. The functional is PBE.

Cell and atoms, written as POSCAR:
```
ReSn3
1.0
-3.216 1.753 -3.348
-3.401 -3.017 -1.990
-4.787 0.526 1.197
Re Sn
1 3
Cartesian
0.000 0.000 0.000
-2.851 -0.184 -1.035
-8.553 -0.553 -3.106
-5.702 -0.369 -2.071
```

Output
- E_tot (eV per atom) = -5.374
- energy of formation from the pure elements (meV/atom) = 740

No. 2
This record from Alexandria via LeMat-Bulk describes an optimized crystal structure of YHoIr2. The functional is PBE.

Cell and atoms, written as POSCAR:
```
YHoIr2
1.0
3.582 0.000 0.000
0.000 4.728 0.000
0.000 0.000 4.728
Y Ir Ho
1 2 1
Cartesian
1.791 0.000 0.000
0.000 0.000 2.364
0.000 2.364 0.000
1.791 2.364 2.364
```

Output
- E_tot (eV per atom) = -8.009
- energy of formation from the pure elements (meV/atom) = -818
- relative energy among the computed polymorphs (meV/atom) = 0.0

No. 3
This record from Alexandria via LeMat-Bulk describes an optimized crystal structure of AcPr2Nd6. The functional is PBE.

Cell and atoms, written as POSCAR:
```
AcPr2Nd6
1.0
6.041 1.493 1.445
3.886 11.568 -1.529
3.886 -1.153 11.612
Ac Pr Nd
2 4 12
Cartesian
5.396 2.400 8.688
8.417 9.508 2.840
5.830 6.630 8.783
4.962 2.168 4.463
7.983 5.278 2.745
8.851 9.739 7.064
6.474 7.573 5.407
4.318 5.512 3.411
7.339 4.334 6.121
9.494 6.396 8.117
10.875 11.478 4.745
5.959 7.540 0.932
2.938 0.430 6.783
7.854 4.368 10.595
8.205 8.797 10.439
2.587 0.443 2.351
5.608 3.110 1.089
11.226 11.465 9.177
```

Output
- E_tot (eV per atom) = -4.602
- energy of formation from the pure elements (meV/atom) = 95
- relative energy among the computed polymorphs (meV/atom) = 46.1

No. 4
This record from Alexandria via LeMat-Bulk describes an optimized crystal structure of Cs3Rb. The functional is PBE.

Cell and atoms, written as POSCAR:
```
Cs3Rb
1.0
-3.342 1.635 6.568
6.329 -1.892 3.691
2.441 7.128 -0.533
Cs Rb
3 1
Cartesian
0.204 0.596 -0.045
4.589 3.213 1.535
1.697 0.466 5.085
-0.248 4.973 2.973
```

Output
- E_tot (eV per atom) = -0.881
- energy of formation from the pure elements (meV/atom) = 1

No. 5
This record from Alexandria via LeMat-Bulk describes an optimized crystal structure of BaBe2Te. The functional is PBE.

Cell and atoms, written as POSCAR:
```
BaBe2Te
1.0
-2.356 2.773 0.456
-0.793 -0.086 -3.579
-5.197 -4.624 1.263
Be Te Ba
2 1 1
Cartesian
-0.443 -0.394 0.108
-2.775 0.276 -1.270
-2.171 -1.931 0.527
-5.557 -2.199 -0.594
```

Output
- E_tot (eV per atom) = -2.848
- raw formation energy (meV/atom) = 281

No. 6
This record from Alexandria via LeMat-Bulk describes an optimized crystal structure of Pu8Os3Rh2. The functional is PBE.

Cell and atoms, written as POSCAR:
```
Pu8Os3Rh2
1.0
-1.955 3.702 0.050
-7.635 -2.255 2.592
-0.338 1.523 8.226
Pu Os Rh
8 3 2
Cartesian
-4.914 0.346 6.133
-5.014 2.624 4.735
-2.892 3.280 1.547
-7.035 -0.311 9.321
-5.761 1.102 2.622
-2.364 2.861 5.244
-7.564 0.109 5.624
-4.167 1.867 8.246
-0.977 1.851 0.025
-1.996 0.665 6.946
-5.977 -1.397 3.872
-2.874 1.056 3.014
-7.054 1.913 7.854
```

Output
- E_tot (eV per atom) = -12.596
- energy of formation from the pure elements (meV/atom) = -53

No. 7
This record from Alexandria via LeMat-Bulk describes an optimized crystal structure of RbCdGe2Os. The functional is PBE.

Cell and atoms, written as POSCAR:
```
RbCdGe2Os
1.0
-3.689 0.889 3.026
1.579 -3.511 2.956
3.026 3.581 2.636
Ge Os Rb Cd
2 1 1 1
Cartesian
0.790 -1.755 1.478
-1.844 0.445 1.513
0.000 0.000 0.000
0.458 0.479 4.309
1.513 1.790 1.318
```

Output
- E_tot (eV per atom) = -4.384
- energy of formation from the pure elements (meV/atom) = 86

No. 8
This record from Alexandria via LeMat-Bulk describes an optimized crystal structure of Nb3Al. The functional is PBE.

Cell and atoms, written as POSCAR:
```
Nb3Al
1.0
-0.719 -2.412 -1.196
4.602 -0.035 -2.694
0.147 -1.184 5.544
Nb Al
3 1
Cartesian
2.503 -1.231 0.979
2.040 -1.224 -2.003
-0.186 -2.387 1.678
0.081 -0.001 -0.047
```

Output
- E_tot (eV per atom) = -8.537
- energy of formation from the pure elements (meV/atom) = -49

The records above yield total moment values of 0.45 0.00 0.00 0.00 0.00 20.07 0.00 0.00 Bohr magnetons per cell, respectively.